A plane-wave DFT calculation with PBE+U was carried out for an optimized crystal structure of TmInWO6.

As for the theoretical density: 7.87 g/cm³. For the raw total energy, the calculation gives -0.53442 Ry/atom. For the density of states at the Fermi level, the calculation gives 0.0 states/eV/f.u.

It has space group P4_2nm (No. 102), with a = 4.934 Å, b = 4.934 Å, c = 9.770 Å, α = 90.00°, β = 90.00° and γ = 90.00°. The distinct sites, in fractional coordinates, are Tm at (0.000, 0.000, 0.000), In at (0.000, 0.000, 0.670), W at (0.000, 0.000, 0.334), O at (0.185, 0.185, 0.486), O at (0.189, 0.189, 0.188) and O at (0.218, 0.218, 0.833).